[1]
## GaCoTeN2 (PBE)

Data for a geometry-optimized GaCoTeN2 structure.

a = 3.789 Å, b = 3.789 Å, c = 6.311 Å
α = 90.00°, β = 90.00°, γ = 90.00°
Space group P4/mmm (No. 123)
Asymmetric unit:
Ga: 0.000 0.000 0.000 [1 per cell]
Co: 0.500 0.500 0.500 [1 per cell]
Te: 0.000 0.000 0.500 [1 per cell]
N: 0.000 0.500 0.000 [2 per cell]

Output
For the density of states at the Fermi level, the calculation gives 6.4 states/eV per cell. For the formation energy from raw total energies, the calculation gives 1.419 eV/atom. For the distance to the lowest polymorph of the same formula, the calculation gives 1.99 eV per formula unit. The total energy comes out at -4.566 eV per atom.



[2]
## Mg3NbIr (PBE)

Data for a geometry-optimized Mg3NbIr structure.

a = 4.813 Å, b = 4.813 Å, c = 4.813 Å
α = 90.00°, β = 90.00°, γ = 90.00°
Space group Pm-3m (No. 221)
Asymmetric unit:
Mg: 0.000 0.000 0.500 [3 per cell]
Nb: 0.500 0.500 0.500 [1 per cell]
Ir: 0.000 0.000 0.000 [1 per cell]

Output
For the density of states at the Fermi level, the calculation gives 4.5 states/eV per cell. The value obtained for the formation enthalpy at 0 K is 705.9 meV/atom. For the distance to the lowest polymorph of the same formula, the calculation gives 0.00 eV per formula unit. The total energy comes out at -4.037 eV per atom.



[3]
## Te2WBr (PBE)

Data for a geometry-optimized Te2WBr structure.

a = 3.191 Å, b = 3.191 Å, c = 10.435 Å
α = 90.00°, β = 90.00°, γ = 90.00°
Space group P4mm (No. 99)
Asymmetric unit:
Te: 0.000 0.000 0.000 [1 per cell]
Te: 0.500 0.500 0.336 [1 per cell]
W: 0.000 0.000 0.498 [1 per cell]
Br: 0.500 0.500 0.659 [1 per cell]

Output
For the density of states at the Fermi level, the calculation gives 2.9 states/eV per cell. For the formation energy from raw total energies, the calculation gives 0.296 eV/atom. For the distance to the lowest polymorph of the same formula, the calculation gives 0.90 eV per formula unit. The total energy comes out at -4.931 eV per atom.



[4]
## MgTaIr2 (PBE)

Data for a geometry-optimized MgTaIr2 structure.

a = 2.920 Å, b = 4.754 Å, c = 9.446 Å
α = 90.00°, β = 90.00°, γ = 90.00°
Space group Cmm2 (No. 35)
Asymmetric unit:
Mg: 0.000 0.000 0.000 [2 per cell]
Ta: 0.000 0.500 0.721 [2 per cell]
Ir: 0.000 0.000 0.483 [2 per cell]
Ir: 0.000 0.500 0.231 [2 per cell]

Output
For the density of states at the Fermi level, the calculation gives 7.6 states/eV per cell. The value obtained for the formation enthalpy at 0 K is 88.8 meV/atom. For the distance to the lowest polymorph of the same formula, the calculation gives 2.78 eV per formula unit. The total energy comes out at -7.703 eV per atom.



[5]
## YTaZn (PBE)

Data for a geometry-optimized YTaZn structure.

a = 4.8115 Å, b = 4.8115 Å, c = 3.1549 Å
α = 90.00°, β = 90.00°, γ = 120.00°
Space group P-6m2 (No. 187)
Asymmetric unit:
Y: 0.0000 0.0000 0.0000 [1 per cell]
Ta: 0.3333 0.6667 0.5000 [1 per cell]
Zn: 0.6667 0.3333 0.5000 [1 per cell]

Output
For the density of states at the Fermi level, the calculation gives 4.3 states/eV per cell. The value obtained for the formation enthalpy at 0 K is 317.1 meV/atom. For the distance to the lowest polymorph of the same formula, the calculation gives 0.57 eV per formula unit. The total energy comes out at -6.213 eV per atom.



[6]
## Sc3Ta3TiN8 (PBE)

Data for a geometry-optimized Sc3Ta3TiN8 structure.

a = 6.1620 Å, b = 6.1620 Å, c = 15.5265 Å
α = 90.00°, β = 90.00°, γ = 120.00°
Space group R-3m (No. 166, hexagonal axes)
Asymmetric unit:
Sc: 0.0000 0.5000 0.0000 [9 per cell]
Ta: 0.0000 0.5000 0.5000 [9 per cell]
Ti: 0.0000 0.0000 0.5000 [3 per cell]
N: 0.0000 0.0000 0.2485 [6 per cell]
N: 0.0084 0.5042 0.2429 [18 per cell]

Output
For the density of states at the Fermi level, the calculation gives 4.6 states/eV per cell. For the formation energy from raw total energies, the calculation gives -1.515 eV/atom. The total energy comes out at -10.118 eV per atom.



[7]
## NdP2Ru4 (PBE)

Data for a geometry-optimized NdP2Ru4 structure.

a = 7.555 Å, b = 7.555 Å, c = 3.815 Å
α = 90.00°, β = 90.00°, γ = 90.00°
Space group P4_2/mnm (No. 136)
Asymmetric unit:
Nd: 0.000 0.000 0.000 [2 per cell]
P: 0.225 0.225 0.500 [4 per cell]
Ru: 0.075 0.661 0.500 [8 per cell]

Output
For the density of states at the Fermi level, the calculation gives 11.8 states/eV per cell. The value obtained for the formation enthalpy at 0 K is -670.2 meV/atom. For the distance to the lowest polymorph of the same formula, the calculation gives 0.00 eV per formula unit. The total energy comes out at -8.197 eV per atom.



[8]
## Al4CoRu2 (PBE)

Data for a geometry-optimized Al4CoRu2 structure.

a = 4.1794 Å, b = 4.1794 Å, c = 20.0499 Å
α = 90.00°, β = 90.00°, γ = 120.00°
Space group R-3m (No. 166, hexagonal axes)
Asymmetric unit:
Al: 0.0000 0.0000 0.1219 [6 per cell]
Al: 0.0000 0.0000 0.3734 [6 per cell]
Co: 0.0000 0.0000 0.5000 [3 per cell]
Ru: 0.0000 0.0000 0.2482 [6 per cell]

Output
For the density of states at the Fermi level, the calculation gives 11.8 states/eV per cell. The value obtained for the formation enthalpy at 0 K is -494.1 meV/atom. The total energy comes out at -6.298 eV per atom.



[9]
## RbAlO3 (PBE)

Data for a geometry-optimized RbAlO3 structure.

a = 3.887 Å, b = 3.887 Å, c = 3.887 Å
α = 90.00°, β = 90.00°, γ = 90.00°
Space group Pm-3m (No. 221)
Asymmetric unit:
Rb: 0.000 0.000 0.000 [1 per cell]
Al: 0.500 0.500 0.500 [1 per cell]
O: 0.000 0.500 0.500 [3 per cell]

Output
For the density of states at the Fermi level, the calculation gives 4.0 states/eV per cell. For the formation energy from raw total energies, the calculation gives -1.501 eV/atom. The total energy comes out at -5.417 eV per atom.



[10]
## ThMn4B2 (PBE)

Data for a geometry-optimized ThMn4B2 structure.

a = 3.785 Å, b = 12.405 Å, c = 3.756 Å
α = 90.00°, β = 90.00°, γ = 90.00°
Space group Cmmm (No. 65)
Asymmetric unit:
Th: 0.000 0.000 0.000 [2 per cell]
Mn: 0.000 0.191 0.500 [4 per cell]
Mn: 0.000 0.304 0.000 [4 per cell]
B: 0.000 0.379 0.500 [4 per cell]

Output
For the density of states at the Fermi level, the calculation gives 12.8 states/eV per cell. The value obtained for the formation enthalpy at 0 K is -246.3 meV/atom. The total energy comes out at -8.454 eV per atom.



[11]
## AsSe2Cl (PBE)

Data for a geometry-optimized AsSe2Cl structure.

a = 3.520 Å, b = 7.643 Å, c = 8.013 Å
α = 90.00°, β = 90.00°, γ = 90.00°
Space group Imm2 (No. 44)
Asymmetric unit:
As: 0.000 0.000 0.000 [2 per cell]
Se: 0.000 0.000 0.467 [2 per cell]
Se: 0.000 0.500 0.724 [2 per cell]
Cl: 0.000 0.500 0.251 [2 per cell]

Output
For the density of states at the Fermi level, the calculation gives 4.8 states/eV per cell. For the formation energy from raw total energies, the calculation gives 0.286 eV/atom. For the distance to the lowest polymorph of the same formula, the calculation gives 1.93 eV per formula unit. The total energy comes out at -3.080 eV per atom.



[12]
## AsP3S (PBE)

Data for a geometry-optimized AsP3S structure.

a = 4.518 Å, b = 4.518 Å, c = 4.518 Å
α = 90.00°, β = 90.00°, γ = 90.00°
Space group Pm-3m (No. 221)
Asymmetric unit:
As: 0.000 0.000 0.000 [1 per cell]
P: 0.000 0.500 0.500 [3 per cell]
S: 0.500 0.500 0.500 [1 per cell]

Output
For the density of states at the Fermi level, the calculation gives 3.1 states/eV per cell. For the formation energy from raw total energies, the calculation gives 1.016 eV/atom. For the distance to the lowest polymorph of the same formula, the calculation gives 0.00 eV per formula unit. The total energy comes out at -3.985 eV per atom.